Entry from the Alexandria database: TbP2Ir2 after structural relaxation (GGA-PBE).

Calculated values
Its formation energy is -990 meV per atom. The volume is 16.34 A^3/atom.

abc: 4.136 4.136 9.551
angles: 90.00 90.00 90.00
Positions (direct):
Tb: 0.250 0.250 0.242
Tb: 0.750 0.750 0.758
P: 0.250 0.250 0.641
P: 0.250 0.750 0.000
P: 0.750 0.250 0.000
P: 0.750 0.750 0.359
Ir: 0.250 0.250 0.885
Ir: 0.250 0.750 0.500
Ir: 0.750 0.250 0.500
Ir: 0.750 0.750 0.115

=====

Entry from the Alexandria database: TbP2Ir3 after structural relaxation (GGA-PBE).

Calculated values
Its formation energy is -868 meV per atom. The volume is 15.99 A^3/atom.

abc: 8.194 8.194 9.728
angles: 107.08 107.08 27.54
Positions (direct):
Tb: 0.000 0.000 0.000
Tb: 0.152 0.152 0.690
Tb: 0.848 0.848 0.310
P: 0.201 0.201 0.135
P: 0.364 0.364 0.548
P: 0.460 0.460 0.221
P: 0.540 0.540 0.779
P: 0.636 0.636 0.452
P: 0.799 0.799 0.865
Ir: 0.041 0.041 0.321
Ir: 0.226 0.226 0.395
Ir: 0.325 0.325 0.053
Ir: 0.369 0.369 0.791
Ir: 0.500 0.500 0.500
Ir: 0.631 0.631 0.209
Ir: 0.675 0.675 0.947
Ir: 0.774 0.774 0.605
Ir: 0.959 0.959 0.679

=====

Entry from the Alexandria database: TbPIr2 after structural relaxation (GGA-PBE).

Calculated values
Its formation energy is -629 meV per atom. The volume is 19.79 A^3/atom.

abc: 4.579 4.579 3.912
angles: 90.00 90.00 105.28
Positions (direct):
Tb: 0.000 0.000 0.000
P: 0.500 0.500 0.500
Ir: 0.000 0.500 0.500
Ir: 0.500 0.000 0.500

=====

Entry from the Alexandria database: Tb2P3Ir5 after structural relaxation (GGA-PBE).

Calculated values
Its formation energy is -760 meV per atom. The volume is 16.57 A^3/atom.

abc: 12.654 12.654 6.657
angles: 90.00 90.00 161.89
Positions (direct):
Tb: 0.026 0.974 0.500
Tb: 0.324 0.676 0.483
Tb: 0.676 0.324 0.983
Tb: 0.974 0.026 0.000
P: 0.111 0.889 0.773
P: 0.288 0.712 0.905
P: 0.459 0.541 0.695
P: 0.541 0.459 0.195
P: 0.712 0.288 0.405
P: 0.889 0.111 0.273
Ir: 0.089 0.911 0.121
Ir: 0.186 0.814 0.585
Ir: 0.239 0.761 0.220
Ir: 0.384 0.616 0.911
Ir: 0.440 0.560 0.325
Ir: 0.560 0.440 0.825
Ir: 0.616 0.384 0.411
Ir: 0.761 0.239 0.720
Ir: 0.814 0.186 0.085
Ir: 0.911 0.089 0.621

=====

Entry from the Alexandria database: TbTcP2Ir after structural relaxation (GGA-PBE).

Calculated values
Its formation energy is -959 meV per atom. The volume is 16.19 A^3/atom.

abc: 5.628 5.628 5.628
angles: 137.32 137.32 61.94
Positions (direct):
Tb: 0.000 0.000 0.000
Tc: 0.750 0.250 0.500
P: 0.375 0.375 0.000
P: 0.625 0.625 0.000
Ir: 0.250 0.750 0.500

=====

Entry from the Alexandria database: Tb8Te4P3Ir after structural relaxation (GGA-PBE).

Calculated values
The value obtained for the total energy is -0.4469 Ry per atom. The volume is 26.59 A^3/atom.

abc: 8.557 8.557 8.557
angles: 58.27 58.27 58.27
Positions (direct):
Tb: 0.237 0.237 0.237
Tb: 0.241 0.734 0.734
Tb: 0.266 0.266 0.759
Tb: 0.266 0.759 0.266
Tb: 0.734 0.241 0.734
Tb: 0.734 0.734 0.241
Tb: 0.759 0.266 0.266
Tb: 0.763 0.763 0.763
Te: 0.000 0.000 0.000
Te: 0.000 0.500 0.500
Te: 0.500 0.000 0.500
Te: 0.500 0.500 0.000
P: 0.000 0.000 0.500
P: 0.000 0.500 0.000
P: 0.500 0.000 0.000
Ir: 0.500 0.500 0.500

=====

Entry from the Alexandria database: Tb8Te3PIr3 after structural relaxation (GGA-PBE).

Calculated values
The value obtained for the total energy is -0.4605 Ry per atom. The volume is 28.35 A^3/atom.

abc: 8.586 8.586 8.586
angles: 57.83 57.83 57.83
Positions (direct):
Tb: 0.231 0.737 0.737
Tb: 0.236 0.236 0.236
Tb: 0.263 0.263 0.769
Tb: 0.263 0.769 0.263
Tb: 0.737 0.231 0.737
Tb: 0.737 0.737 0.231
Tb: 0.764 0.764 0.764
Tb: 0.769 0.263 0.263
Te: 0.000 0.500 0.500
Te: 0.500 0.000 0.500
Te: 0.500 0.500 0.000
P: 0.500 0.500 0.500
Ir: 0.000 0.000 0.500
Ir: 0.000 0.500 0.000
Ir: 0.500 0.000 0.000

=====

Entry from the Alexandria database: Tb4Te2PIr after structural relaxation (GGA-PBE).

Calculated values
The value obtained for the total energy is -0.4528 Ry per atom. The volume is 26.92 A^3/atom.

abc: 7.285 4.151 7.506
angles: 90.00 108.41 90.00
Positions (direct):
Tb: 0.233 0.000 0.208
Tb: 0.258 0.500 0.790
Tb: 0.742 0.500 0.210
Tb: 0.767 0.000 0.792
Te: 0.000 0.000 0.500
Te: 0.500 0.500 0.500
P: 0.500 0.000 0.000
Ir: 0.000 0.500 0.000

=====

Entry from the Alexandria database: TbTh2P3Ir12 after structural relaxation (GGA-PBE).

Calculated values
Its formation energy is -154 meV per atom. The volume is 17.65 A^3/atom.

abc: 6.850 6.850 6.850
angles: 84.78 84.78 84.78
Positions (direct):
Tb: 0.000 0.000 0.000
Th: 0.357 0.357 0.357
Th: 0.643 0.643 0.643
P: 0.000 0.000 0.500
P: 0.000 0.500 0.000
P: 0.500 0.000 0.000
Ir: 0.110 0.624 0.624
Ir: 0.178 0.178 0.668
Ir: 0.178 0.668 0.178
Ir: 0.332 0.822 0.822
Ir: 0.376 0.376 0.890
Ir: 0.376 0.890 0.376
Ir: 0.624 0.110 0.624
Ir: 0.624 0.624 0.110
Ir: 0.668 0.178 0.178
Ir: 0.822 0.332 0.822
Ir: 0.822 0.822 0.332
Ir: 0.890 0.376 0.376

=====

Entry from the Alexandria database: Tb2TmP3Ir12 after structural relaxation (GGA-PBE).

Calculated values
Its formation energy is -166 meV per atom. The volume is 16.90 A^3/atom.

abc: 6.758 6.758 6.758
angles: 84.25 84.25 84.25
Positions (direct):
Tb: 0.130 0.130 0.130
Tb: 0.870 0.870 0.870
Tm: 0.500 0.500 0.500
P: 0.000 0.500 0.500
P: 0.500 0.000 0.500
P: 0.500 0.500 0.000
Ir: 0.124 0.124 0.605
Ir: 0.124 0.605 0.124
Ir: 0.167 0.678 0.678
Ir: 0.322 0.322 0.833
Ir: 0.322 0.833 0.322
Ir: 0.395 0.876 0.876
Ir: 0.605 0.124 0.124
Ir: 0.678 0.167 0.678
Ir: 0.678 0.678 0.167
Ir: 0.833 0.322 0.322
Ir: 0.876 0.395 0.876
Ir: 0.876 0.876 0.395

=====

Entry from the Alexandria database: TbTmP2Ir5 after structural relaxation (GGA-PBE).

Calculated values
Its formation energy is -620 meV per atom. The volume is 19.59 A^3/atom.

abc: 4.005 4.005 10.987
angles: 90.00 90.00 90.00
Positions (direct):
Tb: 0.000 0.000 0.000
Tm: 0.000 0.000 0.500
P: 0.500 0.500 0.207
P: 0.500 0.500 0.793
Ir: 0.000 0.500 0.306
Ir: 0.000 0.500 0.694
Ir: 0.500 0.000 0.306
Ir: 0.500 0.000 0.694
Ir: 0.500 0.500 0.000

=====

Entry from the Alexandria database: Tc2PIr after structural relaxation (GGA-PBE).

Calculated values
Its formation energy is -206 meV per atom. The volume is 13.83 A^3/atom.

abc: 5.118 5.118 5.118
angles: 147.20 129.73 61.34
Positions (direct):
Tc: 0.213 0.213 0.000
Tc: 0.787 0.787 0.000
P: 0.000 0.500 0.500
Ir: 0.500 0.000 0.500

=====

Number 1: D(E_F) 2.7 states/eV/cell, size of the total moment 0.000 μB per formula unit. Number 2: D(E_F) 5.0 states/eV/cell, size of the total moment 0.000 μB per formula unit. Number 3: D(E_F) 1.3 states/eV/cell, size of the total moment 0.000 μB per formula unit. Number 4: D(E_F) 11.4 states/eV/cell, size of the total moment 0.000 μB per formula unit. Number 5: D(E_F) 1.5 states/eV/cell, size of the total moment 0.000 μB per formula unit. Number 6: D(E_F) 9.7 states/eV/cell, size of the total moment 0.000 μB per formula unit. Number 7: D(E_F) 9.2 states/eV/cell, size of the total moment 0.000 μB per formula unit. Number 8: D(E_F) 5.6 states/eV/cell, size of the total moment 0.000 μB per formula unit. Number 9: D(E_F) 12.4 states/eV/cell, size of the total moment 0.000 μB per formula unit. Number 10: D(E_F) 9.8 states/eV/cell, size of the total moment 0.000 μB per formula unit. Number 11: D(E_F) 5.4 states/eV/cell, size of the total moment 0.000 μB per formula unit. Number 12: D(E_F) 2.9 states/eV/cell, size of the total moment 0.000 μB per formula unit.